The following is a DFT calculation (PBE with a Hubbard U) of a relaxed structure of Li2MnVP2O8.

Results
theoretical density = 3.32 g cm⁻³
magnetic moment = 16.0 μB/cell
calculated total energy = -7.171 eV/atom

Unit cell a=4.783 b=6.144 c=10.549 alpha=90.00 beta=90.09 gamma=90.00
Space group P2_1/m (No. 11)
One atom of each set of equivalent atoms:
Li1 0.000 0.000 0.000 [2 per cell]
Li2 0.500 0.000 0.500 [2 per cell]
Mn1 0.025 0.250 0.722 [2 per cell]
V1 0.478 0.250 0.223 [2 per cell]
P1 0.089 0.750 0.593 [2 per cell]
P2 0.411 0.750 0.090 [2 per cell]
O1 0.208 0.750 0.456 [2 per cell]
O2 0.225 0.549 0.662 [4 per cell]
O3 0.232 0.250 0.403 [2 per cell]
O4 0.268 0.250 0.905 [2 per cell]
O5 0.277 0.549 0.159 [4 per cell]
O6 0.289 0.750 0.953 [2 per cell]